The following is a PBE+U calculation of a relaxed structure of Li2UCoF8, from Alexandria via LeMat-Bulk.

```
data_Li2UCoF8
_cell_length_a 4.788
_cell_length_b 4.794
_cell_length_c 6.857
_cell_angle_alpha 89.02
_cell_angle_beta 89.09
_cell_angle_gamma 89.22
_symmetry_space_group_name_H-M 'P 1'
_symmetry_Int_Tables_number 1
loop_
_symmetry_equiv_pos_as_xyz
'x,y,z'
loop_
_atom_site_label
_atom_site_fract_x
_atom_site_fract_y
_atom_site_fract_z
Li1 0.014 0.014 0.306
Li2 0.986 0.986 0.694
U1 0.500 0.500 0.000
Co1 0.500 0.500 0.500
F1 0.188 0.191 0.027
F2 0.211 0.211 0.506
F3 0.296 0.703 0.742
F4 0.298 0.705 0.257
F5 0.702 0.295 0.743
F6 0.704 0.297 0.258
F7 0.789 0.789 0.494
F8 0.812 0.809 0.973
```

Total magnetization ... 5.0 μB per formula unit
Mass density ... 4.89 Mg/m³
Space group ... No. 2
Total energy ... -0.4339 Ry/atom
Calculated volume ... 157.3 Å³/cell